Entry 1:
A geometry-optimized Tl3CuPd6 structure. Source: Alexandria via LeMat-Bulk, functional PBE.

Cell and atoms, written as POSCAR:
```
Tl3CuPd6
1.0
4.9991 0.0000 0.0000
0.0000 8.8645 -1.0004
0.0000 -2.9533 8.4178
Pd Tl Cu
12 6 2
Direct
0.0415 0.3961 0.2986
0.5415 0.2986 0.3961
0.4282 0.9397 0.0603
0.6303 0.2821 0.7179
0.5415 0.6039 0.7014
0.1303 0.7179 0.2821
0.8703 0.9689 0.5491
0.0415 0.7014 0.6039
0.3703 0.5491 0.9689
0.9282 0.0603 0.9397
0.3703 0.0311 0.4509
0.8703 0.4509 0.0311
0.5865 0.6099 0.3901
0.9416 0.7311 0.9380
0.9416 0.0620 0.2689
0.0865 0.3901 0.6099
0.4416 0.9380 0.7311
0.4416 0.2689 0.0620
0.6333 0.7814 0.2186
0.1333 0.2186 0.7814
```

Results
Density ... 12.19 Mg/m³
Space-group type ... No. 36
Formation energy from the elements ... -0.056 eV per atom
DFT total energy ... -4.291 eV/atom
Calculated volume ... 17.91 Å³/atom

=====

Entry 2:
A geometry-optimized Tl2CuPd6 structure. Source: Alexandria via LeMat-Bulk, functional PBE.

Cell and atoms, written as POSCAR:
```
Tl2CuPd6
1.0
-1.6245 5.6299 2.1661
-4.6530 -1.9256 -2.1940
-2.9906 -3.4605 3.0419
Pd Tl Cu
6 2 1
Direct
0.3588 0.8488 0.3472
0.7588 0.1800 0.1800
0.6412 0.1512 0.6528
0.3588 0.3472 0.8488
0.2412 0.8200 0.8200
0.6412 0.6528 0.1512
0.2060 0.3275 0.3275
0.7940 0.6725 0.6725
0.0000 0.0000 0.0000
```

Results
Density ... 11.47 Mg/m³
Space-group type ... No. 12
Formation energy from the elements ... -0.041 eV per atom
DFT total energy ... -4.484 eV/atom
Calculated volume ... 17.88 Å³/atom

=====

Entry 3:
A geometry-optimized Tl3CuPd12 structure. Source: Alexandria via LeMat-Bulk, functional PBE.

Cell and atoms, written as POSCAR:
```
Tl3CuPd12
1.0
4.0675 0.0000 0.0000
0.0000 4.0675 0.0000
0.0000 0.0000 15.9671
Tl Pd Cu
3 12 1
Direct
0.0000 0.0000 0.2426
0.0000 0.0000 0.7574
0.0000 0.0000 0.5000
0.0000 0.5000 0.3702
0.0000 0.5000 0.1133
0.0000 0.5000 0.8867
0.5000 0.0000 0.8867
0.5000 0.0000 0.1133
0.5000 0.5000 0.5000
0.0000 0.5000 0.6298
0.5000 0.0000 0.6298
0.5000 0.5000 0.2404
0.5000 0.0000 0.3702
0.5000 0.5000 0.0000
0.5000 0.5000 0.7596
0.0000 0.0000 0.0000
```

Results
Density ... 12.28 Mg/m³
Space-group type ... No. 123
Formation energy from the elements ... -0.144 eV per atom
DFT total energy ... -4.738 eV/atom
Calculated volume ... 16.51 Å³/atom

=====

Entry 4:
A geometry-optimized TlCu2Pd structure. Source: Alexandria via LeMat-Bulk, functional PBE.

Cell and atoms, written as POSCAR:
```
TlCu2Pd
1.0
3.7805 0.0000 0.0000
0.0000 4.0748 0.0000
0.0000 0.0000 4.0748
Cu Pd Tl
2 1 1
Direct
0.0000 0.5000 0.0000
0.0000 0.0000 0.5000
0.5000 0.5000 0.5000
0.5000 0.0000 0.0000
```

Results
Density ... 11.58 Mg/m³
Space-group type ... No. 123
Formation energy from the elements ... 0.037 eV per atom
DFT total energy ... -3.900 eV/atom
Calculated volume ... 15.69 Å³/atom